! AlCr2O (GGA+U, relaxed); values from VASP
&SYSTEM
  ibrav = 0, nat = 8, ntyp = 3
/
ATOMIC_SPECIES
Cr 52.00 Cr.upf
Al 26.98 Al.upf
O 16.00 O.upf
ATOMIC_POSITIONS crystal
Cr 0.875 0.759 0.750
Al 0.750 0.250 0.500
Cr 0.241 0.625 0.250
O 0.250 0.750 0.500
O 0.500 0.500 0.000
Al 0.000 0.000 0.000
Cr 0.375 0.491 0.750
Cr 0.509 0.125 0.250
CELL_PARAMETERS angstrom
6.044 0.000 0.000
0.000 6.044 0.000
3.022 3.022 3.988
! - space group = No. 122
! - E (eV/atom) = -6.149
! - DOS at the Fermi energy (states/eV/atom) = 0.417